# 1
## Sm2Ho8Tm (PBE)

Data for an optimized crystal structure of Sm2Ho8Tm.

- theoretical density (Mg/m³) = 8.6
- crystal system = monoclinic
- spin magnetization (μB/f.u.) = 0.00
- formation energy from the elements (eV/atom) = 0.02
- density of states at the Fermi level (states/eV per cell) = 14.45

Unit cell a=4.999 b=7.917 c=9.366 alpha=104.70 beta=105.48 gamma=90.00
Fractional positions:
Ho 0.681 0.909 0.362
Ho 0.045 0.728 0.089
Ho 0.955 0.272 0.911
Sm 0.773 0.363 0.546
Sm 0.227 0.637 0.454
Ho 0.135 0.179 0.270
Ho 0.865 0.821 0.730
Ho 0.590 0.453 0.180
Ho 0.410 0.547 0.820
Ho 0.319 0.091 0.638
Tm 0.500 0.000 0.000


# 2
## RbInO2 (PBE)

Data for an optimized crystal structure of RbInO2.

- theoretical density (Mg/m³) = 5.6
- crystal system = trigonal
- spin magnetization (μB/f.u.) = 0.00
- raw formation energy (eV per formula unit) = -5.61
- density of states at the Fermi level (states/eV per cell) = 0.00

Unit cell a=3.415 b=3.415 c=6.833 alpha=90.00 beta=90.00 gamma=120.00
Fractional positions:
O 0.667 0.333 0.171
Rb 0.333 0.667 0.450
In 0.000 0.000 0.993
O 0.333 0.667 0.842


# 3
## CePrTm2 (PBE)

Data for an optimized crystal structure of CePrTm2.

- theoretical density (Mg/m³) = 8.2
- crystal system = tetragonal
- spin magnetization (μB/f.u.) = 0.62
- formation energy from the elements (eV/atom) = 0.06
- density of states at the Fermi level (states/eV per cell) = 7.47
- distance to the lowest polymorph of the same formula (eV/atom) = 0.001

Unit cell a=3.567 b=3.567 c=9.852 alpha=90.00 beta=90.00 gamma=90.00
Fractional positions:
Tm 0.000 0.000 0.761
Tm 0.000 0.000 0.239
Pr 0.500 0.500 0.500
Ce 0.500 0.500 0.000


# 4
## Zr2VMo2 (PBE)

Data for an optimized crystal structure of Zr2VMo2.

- theoretical density (Mg/m³) = 7.4
- crystal system = tetragonal
- spin magnetization (μB/f.u.) = 0.00
- formation energy from the elements (eV/atom) = 0.22
- density of states at the Fermi level (states/eV per cell) = 13.62

Unit cell a=6.410 b=6.410 c=4.618 alpha=90.00 beta=90.00 gamma=90.00
Fractional positions:
Zr 0.674 0.826 0.500
Zr 0.826 0.326 0.500
V 0.000 0.000 0.000
Mo 0.144 0.356 0.000
Zr 0.326 0.174 0.500
V 0.500 0.500 0.000
Mo 0.644 0.144 0.000
Mo 0.856 0.644 0.000
Mo 0.356 0.856 0.000
Zr 0.174 0.674 0.500


# 5
## RbAlSi3O8 (PBE)

Data for an optimized crystal structure of RbAlSi3O8.

- theoretical density (Mg/m³) = 2.8
- crystal system = monoclinic
- spin magnetization (μB/f.u.) = 0.00
- raw formation energy (eV per formula unit) = -36.56
- density of states at the Fermi level (states/eV per cell) = 0.00
- distance to the lowest polymorph of the same formula (eV/atom) = 0.005

Unit cell a=8.037 b=8.037 c=7.246 alpha=76.04 beta=76.04 gamma=112.10
Fractional positions:
O 0.966 0.703 0.402
O 0.747 0.370 0.733
O 0.680 0.009 0.769
O 0.340 0.326 0.284
Si 0.792 0.172 0.228
O 0.318 0.004 0.228
Al 0.157 0.396 0.347
O 0.674 0.660 0.716
O 0.297 0.034 0.598
O 0.996 0.682 0.772
Si 0.849 0.607 0.653
O 0.048 0.301 0.613
O 0.841 0.159 0.000
O 0.276 0.651 0.250
Si 0.204 0.818 0.778
Al 0.604 0.843 0.653
Rb 0.292 0.307 0.859
O 0.630 0.253 0.267
O 0.152 0.848 0.000
Si 0.182 0.796 0.222
Rb 0.693 0.708 0.141
O 0.349 0.724 0.750
Si 0.828 0.208 0.772
Si 0.393 0.151 0.347
O 0.991 0.320 0.231
O 0.699 0.952 0.387


# 6
## LiAl2Cd (PBE)

Data for an optimized crystal structure of LiAl2Cd.

- theoretical density (Mg/m³) = 3.9
- crystal system = orthorhombic
- spin magnetization (μB/f.u.) = 0.00
- formation energy from the elements (eV/atom) = 0.07
- density of states at the Fermi level (states/eV per cell) = 0.91

Unit cell a=2.960 b=2.960 c=9.045 alpha=90.00 beta=90.00 gamma=109.52
Fractional positions:
Al 0.000 0.000 0.991
Cd 0.500 0.500 0.250
Li 0.500 0.500 0.750
Al 0.000 0.000 0.509


# 7
## Na3IN (PBE)

Data for an optimized crystal structure of Na3IN.

- theoretical density (Mg/m³) = 3.0
- crystal system = cubic
- spin magnetization (μB/f.u.) = 1.00
- raw formation energy (eV per formula unit) = -0.98
- density of states at the Fermi level (states/eV per cell) = 5.41
- distance to the lowest polymorph of the same formula (eV/atom) = 0.000

Unit cell a=4.878 b=4.878 c=4.878 alpha=90.00 beta=90.00 gamma=90.00
Fractional positions:
N 0.000 0.000 0.000
Na 0.000 0.000 0.500
Na 0.500 0.000 0.000
Na 0.000 0.500 0.000
I 0.500 0.500 0.500


# 8
## ReNiBP2 (PBE)

Data for an optimized crystal structure of ReNiBP2.

- theoretical density (Mg/m³) = 7.8
- crystal system = monoclinic
- spin magnetization (μB/f.u.) = 0.00
- formation energy from the elements (eV/atom) = -0.01
- density of states at the Fermi level (states/eV per cell) = 4.41
- distance to the lowest polymorph of the same formula (eV/atom) = 0.122

Unit cell a=6.703 b=3.124 c=7.421 alpha=90.00 beta=119.26 gamma=90.00
Fractional positions:
P 0.630 0.000 0.865
P 0.110 0.500 0.852
Re 0.515 0.500 0.020
B 0.904 0.000 0.814
Ni 0.937 0.500 0.053
P 0.110 0.000 0.352
Re 0.515 0.000 0.520
B 0.904 0.500 0.314
Ni 0.937 0.000 0.553
P 0.630 0.500 0.365


# 9
## Er2CdHgPd4 (PBE)

Data for an optimized crystal structure of Er2CdHgPd4.

- theoretical density (Mg/m³) = 11.6
- crystal system = trigonal
- spin magnetization (μB/f.u.) = 0.00
- formation energy from the elements (eV/atom) = -0.73
- density of states at the Fermi level (states/eV per cell) = 3.53

Unit cell a=4.761 b=4.761 c=8.288 alpha=73.31 beta=73.31 gamma=60.00
Fractional positions:
Er 0.751 0.751 0.746
Pd 0.876 0.876 0.371
Hg 0.500 0.500 0.500
Pd 0.627 0.627 0.118
Cd 0.000 0.000 0.000
Er 0.249 0.249 0.254
Pd 0.124 0.124 0.629
Pd 0.373 0.373 0.882


# 10
## Tb2Ga6Ag3 (PBE)

Data for an optimized crystal structure of Tb2Ga6Ag3.

- theoretical density (Mg/m³) = 7.7
- crystal system = orthorhombic
- spin magnetization (μB/f.u.) = 0.00
- formation energy from the elements (eV/atom) = -0.21
- density of states at the Fermi level (states/eV per cell) = 2.57

Unit cell a=3.875 b=7.722 c=7.722 alpha=100.00 beta=90.00 gamma=90.00
Fractional positions:
Tb 0.000 0.301 0.699
Ga 0.500 0.381 0.381
Ga 0.500 0.967 0.648
Ga 0.500 0.648 0.967
Ag 0.500 0.000 0.000
Tb 0.000 0.699 0.301
Ga 0.500 0.033 0.352
Ag 0.000 0.207 0.207
Ag 0.000 0.793 0.793
Ga 0.500 0.352 0.033
Ga 0.500 0.619 0.619


# 11
## Ac3Tb2Pm7 (PBE)

Data for an optimized crystal structure of Ac3Tb2Pm7.

- theoretical density (Mg/m³) = 7.6
- crystal system = orthorhombic
- spin magnetization (μB/f.u.) = 0.00
- formation energy from the elements (eV/atom) = 0.12
- density of states at the Fermi level (states/eV per cell) = 19.11

Unit cell a=20.068 b=20.068 c=3.734 alpha=90.00 beta=90.00 gamma=162.90
Fractional positions:
Ac 0.816 0.184 0.000
Pm 0.090 0.910 0.500
Tb 0.353 0.647 0.500
Ac 0.500 0.500 0.500
Pm 0.425 0.575 0.000
Tb 0.647 0.353 0.500
Pm 0.000 0.000 0.000
Pm 0.910 0.090 0.500
Pm 0.575 0.425 0.000
Ac 0.184 0.816 0.000
Pm 0.730 0.270 0.500
Pm 0.270 0.730 0.500


# 12
## Tc2Ir (PBE)

Data for an optimized crystal structure of Tc2Ir.

- theoretical density (Mg/m³) = 14.8
- crystal system = orthorhombic
- spin magnetization (μB/f.u.) = 0.00
- formation energy from the elements (eV/atom) = -0.10
- density of states at the Fermi level (states/eV per cell) = 7.04
- distance to the lowest polymorph of the same formula (eV/atom) = 0.111

Unit cell a=6.098 b=6.098 c=3.874 alpha=90.00 beta=90.00 gamma=142.78
Fractional positions:
Tc 0.416 0.584 0.750
Tc 0.750 0.250 0.750
Tc 0.250 0.750 0.250
Ir 0.084 0.916 0.750
Ir 0.916 0.084 0.250
Tc 0.584 0.416 0.250